Record 1
The following is a DFT calculation (PBE-GGA) of an optimized crystal structure of TaCuW.

abc: 4.6011 4.6011 2.5907
angles: 90.00 90.00 120.00
Fractional coordinates of all 3 atoms:
Ta (0.0000, 0.0000, 0.0000)
Cu (0.6667, 0.3333, 0.6870)
W (0.3333, 0.6667, 0.3979)

Output
For the formation energy, the calculation gives 0.28 eV/atom. The symmetry is P3m1, No. 156. The volume is 15.832 Å³/atom. The distance to the lowest polymorph of the same formula comes out at 222.1 meV/atom.

Record 2
The following is a DFT calculation (PBE-GGA) of an optimized crystal structure of Ac2ErMg12Ag3.

abc: 9.1177 9.1177 9.1177
angles: 59.09 59.09 59.09
Fractional coordinates of all 18 atoms:
Ac (0.0832, 0.0832, 0.0832)
Ac (0.9168, 0.9168, 0.9168)
Er (0.5000, 0.5000, 0.5000)
Mg (0.0425, 0.6645, 0.6645)
Mg (0.2638, 0.2638, 0.6315)
Mg (0.2638, 0.6315, 0.2638)
Mg (0.3355, 0.3355, 0.9575)
Mg (0.3355, 0.9575, 0.3355)
Mg (0.3685, 0.7362, 0.7362)
Mg (0.6315, 0.2638, 0.2638)
Mg (0.6645, 0.0425, 0.6645)
Mg (0.6645, 0.6645, 0.0425)
Mg (0.7362, 0.3685, 0.7362)
Mg (0.7362, 0.7362, 0.3685)
Mg (0.9575, 0.3355, 0.3355)
Ag (0.0000, 0.5000, 0.5000)
Ag (0.5000, 0.0000, 0.5000)
Ag (0.5000, 0.5000, 0.0000)

Output
For the formation energy, the calculation gives 0.18 eV/atom. The symmetry is R-3m, No. 166. The volume is 29.159 Å³/atom.

Record 3
The following is a DFT calculation (PBE-GGA) of an optimized crystal structure of In2TePdRu.

abc: 5.0951 5.0951 5.1056
angles: 90.00 90.00 90.00
Fractional coordinates of all 5 atoms:
In (0.0000, 0.5000, 0.0000)
In (0.5000, 0.0000, 0.0000)
Te (0.0000, 0.0000, 0.5000)
Pd (0.5000, 0.5000, 0.0000)
Ru (0.5000, 0.5000, 0.5000)

Output
The energy relative to the elements, uncorrected is 525 meV per atom. The symmetry is P4/mmm, No. 123. The volume is 26.508 Å³/atom.

Record 4
The following is a DFT calculation (PBE-GGA) of an optimized crystal structure of TcBiSe2N.

abc: 5.4968 5.4968 4.2379
angles: 90.00 90.00 90.00
Fractional coordinates of all 5 atoms:
Tc (0.0000, 0.0000, 0.0000)
Bi (0.5000, 0.5000, 0.5000)
Se (0.0000, 0.5000, 0.5000)
Se (0.5000, 0.0000, 0.5000)
N (0.5000, 0.5000, 0.0000)

Output
The energy relative to the elements, uncorrected is 1567 meV per atom. The symmetry is P4/mmm, No. 123. The volume is 25.610 Å³/atom. The distance to the lowest polymorph of the same formula comes out at 1421.5 meV/atom.

What did the first record say?
The following is a DFT calculation (PBE-GGA) of an optimized crystal structure of TaCuW.

abc: 4.6011 4.6011 2.5907
angles: 90.00 90.00 120.00
Fractional coordinates of all 3 atoms:
Ta (0.0000, 0.0000, 0.0000)
Cu (0.6667, 0.3333, 0.6870)
W (0.3333, 0.6667, 0.3979)

Output
For the formation energy, the calculation gives 0.28 eV/atom. The symmetry is P3m1, No. 156. The volume is 15.832 Å³/atom. The distance to the lowest polymorph of the same formula comes out at 222.1 meV/atom.